# 1
Computed, not measured: a geometry-optimized ZnCdW2 structure at the PBE level of DFT.

POSCAR file:
```
ZnCdW2
1.0
-0.708 0.885 2.481
-1.374 -2.316 0.434
7.313 -3.703 3.407
Cd W Zn
1 2 1
direct
0.500 0.500 0.750
0.000 0.000 0.017
0.000 0.000 0.483
0.500 0.500 0.250
```

Results
formation energy = 0.5059 eV/atom
density = 13.7 g/cm3
energy above the most stable polymorph in this dataset = 228.5 meV/atom

---

# 2
Computed, not measured: a geometry-optimized ZnCdW3 structure at the PBE level of DFT.

POSCAR file:
```
ZnCdW3
1.0
4.847 0.000 0.000
0.000 4.847 0.000
0.000 0.000 4.847
Zn W Cd
1 3 1
direct
0.500 0.500 0.500
0.000 0.500 0.000
0.000 0.000 0.500
0.500 0.000 0.000
0.000 0.000 0.000
```

Results
formation energy = 3.0506 eV/atom
density = 10.6 g/cm3
energy above the most stable polymorph in this dataset = 1130.6 meV/atom

---

# 3
Computed, not measured: a geometry-optimized ZnCdW2 structure at the PBE level of DFT.

POSCAR file:
```
ZnCdW2
1.0
0.000 3.197 3.197
3.197 0.000 3.197
3.197 3.197 0.000
Zn W Cd
1 2 1
direct
0.000 0.000 0.000
0.250 0.250 0.250
0.750 0.750 0.750
0.500 0.500 0.500
```

Results
formation energy = 0.9575 eV/atom
density = 13.9 g/cm3
energy above the most stable polymorph in this dataset = 680.1 meV/atom

---

# 4
Computed, not measured: a geometry-optimized ZnCd2W structure at the PBE level of DFT.

POSCAR file:
```
ZnCd2W
1.0
-1.295 1.238 7.213
-4.459 -5.942 0.219
-0.717 -3.948 4.378
Zn W Cd
2 2 4
direct
0.500 0.500 0.000
0.250 0.750 0.500
0.000 0.000 0.000
0.750 0.250 0.500
0.602 0.125 0.250
0.148 0.625 0.250
0.375 0.398 0.750
0.875 0.852 0.750
```

Results
formation energy = 0.8985 eV/atom
density = 10.3 g/cm3

---

# 5
Computed, not measured: a geometry-optimized Zn2CdW structure at the PBE level of DFT.

POSCAR file:
```
Zn2CdW
1.0
-3.142 -0.206 3.042
1.307 -2.180 1.202
3.393 2.241 3.657
Cd W Zn
1 1 2
direct
0.000 0.447 0.481
0.500 0.794 0.788
0.000 0.200 0.976
0.500 0.059 0.255
```

Results
formation energy = 0.3505 eV/atom
density = 10.9 g/cm3

---

# 6
Computed, not measured: a geometry-optimized ZnCd2W structure at the PBE level of DFT.

POSCAR file:
```
ZnCd2W
1.0
4.913 0.000 0.000
0.000 4.913 0.000
0.000 0.000 3.023
Cd W Zn
2 1 1
direct
0.000 0.000 0.000
0.500 0.500 0.000
0.500 0.000 0.500
0.000 0.500 0.500
```

Results
formation energy = 0.6299 eV/atom
density = 10.8 g/cm3

---

# 7
Computed, not measured: a geometry-optimized Zn2CdW structure at the PBE level of DFT.

POSCAR file:
```
Zn2CdW
1.0
4.394 0.000 0.000
0.000 2.769 -0.081
0.000 0.327 5.495
Cd W Zn
1 1 2
direct
0.500 0.250 0.250
0.500 0.750 0.750
0.000 0.198 0.966
0.000 0.302 0.534
```

Results
formation energy = 0.3651 eV/atom
density = 10.6 g/cm3

---

# 8
Computed, not measured: a geometry-optimized ZnCd4W structure at the PBE level of DFT.

POSCAR file:
```
ZnCd4W
1.0
0.000 3.959 3.959
3.959 0.000 3.959
3.959 3.959 0.000
Zn Cd W
1 4 1
direct
0.000 0.000 0.000
0.874 0.375 0.375
0.375 0.375 0.874
0.375 0.874 0.375
0.375 0.375 0.375
0.750 0.750 0.750
```

Results
formation energy = 0.8083 eV/atom
density = 9.3 g/cm3

---

# 9
Computed, not measured: a geometry-optimized ZnCdW2 structure at the PBE level of DFT.

POSCAR file:
```
ZnCdW2
1.0
4.581 0.000 0.000
0.000 2.724 0.008
0.000 1.509 5.327
Cd W Zn
1 2 1
direct
0.500 0.750 0.750
0.000 0.002 0.014
0.000 0.498 0.486
0.500 0.250 0.250
```

Results
formation energy = 0.4976 eV/atom
density = 13.6 g/cm3
energy above the most stable polymorph in this dataset = 220.3 meV/atom

---

# 10
Computed, not measured: a geometry-optimized ZnCdW2 structure at the PBE level of DFT.

POSCAR file:
```
ZnCdW2
1.0
5.398 -0.004 -0.014
2.659 4.698 0.014
-3.639 -3.016 2.608
Cd W Zn
1 2 1
direct
0.250 0.750 0.500
0.993 0.993 0.000
0.507 0.507 0.000
0.750 0.250 0.500
```

Results
formation energy = 0.4880 eV/atom
density = 13.7 g/cm3
energy above the most stable polymorph in this dataset = 210.6 meV/atom

---

# 11
Computed, not measured: a geometry-optimized Zn2CdW structure at the PBE level of DFT.

POSCAR file:
```
Zn2CdW
1.0
-0.937 -2.605 -0.283
3.827 -1.228 -1.365
1.533 -1.129 5.317
Cd W Zn
1 1 2
direct
0.000 0.000 0.497
0.500 0.500 0.774
0.000 0.000 0.977
0.500 0.500 0.251
```

Results
formation energy = 0.4418 eV/atom
density = 10.6 g/cm3

---

# 12
Computed, not measured: a geometry-optimized ZnCd3W structure at the PBE level of DFT.

POSCAR file:
```
ZnCd3W
1.0
4.908 0.000 0.000
0.000 4.908 0.000
0.000 0.000 4.908
Zn W Cd
1 1 3
direct
0.000 0.000 0.000
0.500 0.500 0.500
0.000 0.500 0.000
0.000 0.000 0.500
0.500 0.000 0.000
```

Results
formation energy = 1.3179 eV/atom
density = 8.2 g/cm3
energy above the most stable polymorph in this dataset = 56.6 meV/atom

---

# 13
Computed, not measured: a geometry-optimized ZnCdW2 structure at the PBE level of DFT.

POSCAR file:
```
ZnCdW2
1.0
2.720 0.031 0.000
-0.671 2.636 0.000
0.000 0.000 9.207
Cd W Zn
1 2 1
direct
0.500 0.500 0.750
0.000 0.000 0.015
0.000 0.000 0.485
0.500 0.500 0.250
```

Results
formation energy = 0.4837 eV/atom
density = 13.7 g/cm3
energy above the most stable polymorph in this dataset = 206.4 meV/atom

---

# 14
Computed, not measured: a geometry-optimized ZnCdW2 structure at the PBE level of DFT.

POSCAR file:
```
ZnCdW2
1.0
-1.533 2.563 -1.517
0.642 -1.382 -2.983
-5.249 -2.990 0.255
Cd W Zn
1 2 1
direct
0.500 0.500 0.750
0.000 0.000 0.048
0.000 0.000 0.452
0.500 0.500 0.250
```

Results
formation energy = 0.7106 eV/atom
density = 13.4 g/cm3
energy above the most stable polymorph in this dataset = 433.2 meV/atom

---

# 15
Computed, not measured: a geometry-optimized ZnCdW2 structure at the PBE level of DFT.

POSCAR file:
```
ZnCdW2
1.0
9.650 -0.014 -0.008
9.233 2.805 -0.008
9.233 1.365 2.451
Cd W Zn
1 2 1
direct
0.750 0.750 0.750
0.996 0.996 0.996
0.504 0.504 0.504
0.250 0.250 0.250
```

Results
formation energy = 0.5499 eV/atom
density = 13.5 g/cm3
energy above the most stable polymorph in this dataset = 272.5 meV/atom

---

# 16
Computed, not measured: a geometry-optimized Zn2CdW structure at the PBE level of DFT.

POSCAR file:
```
Zn2CdW
1.0
-0.239 3.299 -3.689
3.337 -3.473 -1.161
-2.009 -1.520 -1.229
Cd W Zn
1 1 2
direct
0.500 0.000 0.500
0.000 0.500 0.500
0.000 0.000 0.000
0.500 0.500 0.000
```

Results
formation energy = 0.2927 eV/atom
density = 10.9 g/cm3

---

# 17
Computed, not measured: a geometry-optimized ZnCd2W structure at the PBE level of DFT.

POSCAR file:
```
ZnCd2W
1.0
2.990 0.000 0.000
0.000 4.804 0.000
0.000 0.000 4.983
Cd W Zn
2 1 1
direct
0.000 0.000 0.000
0.500 0.500 0.000
0.500 0.000 0.500
0.000 0.500 0.500
```

Results
formation energy = 0.5532 eV/atom
density = 11.0 g/cm3

---

# 18
Computed, not measured: a geometry-optimized Zn2CdW structure at the PBE level of DFT.

POSCAR file:
```
Zn2CdW
1.0
2.771 0.000 0.000
0.000 2.771 0.000
0.000 0.000 8.678
Cd W Zn
1 1 2
direct
0.500 0.500 0.250
0.500 0.500 0.750
0.000 0.000 0.981
0.000 0.000 0.519
```

Results
formation energy = 0.2487 eV/atom
density = 10.6 g/cm3

---

# 19
Computed, not measured: a geometry-optimized ZnCd2W structure at the PBE level of DFT.

POSCAR file:
```
ZnCd2W
1.0
-2.517 -9.747 0.805
-0.192 -10.053 -0.941
0.165 -9.906 1.958
Cd W Zn
2 1 1
direct
0.005 0.005 0.005
0.244 0.244 0.244
0.495 0.495 0.495
0.757 0.757 0.757
```

Results
formation energy = 0.3453 eV/atom
density = 10.7 g/cm3

---

# 20
Computed, not measured: a geometry-optimized ZnCd2W structure at the PBE level of DFT.

POSCAR file:
```
ZnCd2W
1.0
-3.113 -3.252 0.900
1.196 -0.437 2.559
-2.692 3.539 3.474
Cd W Zn
2 1 1
direct
0.000 0.897 0.999
0.000 0.603 0.501
0.500 0.250 0.250
0.500 0.750 0.750
```

Results
formation energy = 0.5198 eV/atom
density = 11.0 g/cm3